Entry from Alexandria: an optimized crystal structure of InAgPb (PBE).

Cell lengths 5.807, 5.845, 5.861 Å; angles 76.57, 60.43, 60.48 degrees
Element x y z (fractional)
In 0.000 0.000 0.000
In 0.499 0.343 0.658
Ag 0.075 0.847 0.503
Ag 0.575 0.846 0.504
Pb 0.187 0.339 0.288
Pb 0.687 0.631 0.995

Computed properties:
The space group is P1. The energy is -3.086 eV per atom. The value obtained for the formation energy is 0.0 eV/f.u.